1.
First-principles (GGA-PBE) data for an optimized crystal structure of Dy2TmMnS6, as listed in Alexandria via LeMat-Bulk.

Results
As for the symmetry: P1, No. 1. The calculation puts the calculated density at 5.31 g/cm3. Its density of states at the Fermi level is 0.6 states/eV/f.u. The value obtained for the calculated total energy is -63.7 eV for the cell shown. The value obtained for the formation energy (no corrections) is -1.61 eV/atom. The calculation puts the calculated volume at 23.198 Å³/atom. The value obtained for the spin magnetization is 4.0 μB/f.u.

POSCAR file:
```
Dy2TmMnS6
1.0
6.8562 -0.0731 0.1714
3.3640 5.6385 0.0711
3.5583 1.8402 6.0477
Dy Tm S Mn
2 1 6 1
direct
0.5177 0.5276 0.4355
0.0058 0.0268 0.9440
0.8217 0.8161 0.5460
0.1069 0.4385 0.7541
0.5904 0.1975 0.2683
0.2157 0.9561 0.2386
0.6884 0.1152 0.7718
0.4278 0.6871 0.7746
0.9627 0.5758 0.2487
0.3246 0.3210 0.0337
```


2.
First-principles (GGA-PBE) data for an optimized crystal structure of Dy2YMnS6, as listed in Alexandria via LeMat-Bulk.

Results
As for the symmetry: P1, No. 1. The calculation puts the calculated density at 4.66 g/cm3. Its density of states at the Fermi level is 0.5 states/eV/f.u. The value obtained for the calculated total energy is -65.6 eV for the cell shown. The value obtained for the formation energy (no corrections) is -1.60 eV/atom. The calculation puts the calculated volume at 23.545 Å³/atom. The value obtained for the spin magnetization is 4.0 μB/f.u.

POSCAR file:
```
Dy2YMnS6
1.0
-3.2586 -0.4738 6.0530
-4.7629 -4.4782 0.8716
1.2731 -5.6325 4.4652
S Dy Mn Y
6 2 1 1
direct
0.2198 0.9549 0.2362
0.6894 0.1203 0.7726
0.4209 0.6882 0.7746
0.1134 0.4311 0.7530
0.9619 0.5749 0.2466
0.5909 0.2016 0.2662
0.5181 0.5277 0.4353
0.0043 0.0259 0.9482
0.3231 0.3219 0.0323
0.8198 0.8150 0.5502
```


Which value of calculated total energy does entry 1 give? -63.7 eV for the cell shown